# 1
Computed, not measured: a relaxed SrSCl3 crystal at the PBE level of DFT.

Unit cell a=5.680 b=5.680 c=5.680 alpha=90.00 beta=90.00 gamma=90.00
Last column: magnetic moment on the atom in μB.
Atoms (fractional coordinates):
Sr: 0.000 0.000 0.000  0.00
S: 0.500 0.500 0.500  1.47
Cl: 0.000 0.500 0.000  0.11
Cl: 0.000 0.000 0.500  0.21
Cl: 0.500 0.000 0.000  0.15

Values from the calculation:
- Energy above the lowest structure with this stoichiometry: 18 meV per atom
- SG: Pm-3m

# 2
Computed, not measured: a relaxed SrS3Cl crystal at the PBE level of DFT.

Unit cell a=5.799 b=5.799 c=5.799 alpha=90.00 beta=90.00 gamma=90.00
Last column: magnetic moment on the atom in μB.
Atoms (fractional coordinates):
Sr: 0.000 0.000 0.000  -0.02
S: 0.000 0.500 0.000  0.85
S: 0.000 0.000 0.500  0.94
S: 0.500 0.000 0.000  0.79
Cl: 0.500 0.500 0.500  0.50

Values from the calculation:
- SG: Pm-3m

# 3
Computed, not measured: a relaxed SrSCl6 crystal at the PBE level of DFT.

Unit cell a=6.494 b=6.495 c=7.048 alpha=62.57 beta=62.57 gamma=59.99
Atoms (fractional coordinates):
Sr: 0.500 0.500 0.500
S: 0.000 0.000 0.000
Cl: 0.037 0.387 0.776
Cl: 0.800 0.036 0.776
Cl: 0.613 0.200 0.224
Cl: 0.200 0.964 0.224
Cl: 0.963 0.613 0.224
Cl: 0.387 0.800 0.776

Values from the calculation:
- SG: R-3

# 4
Computed, not measured: a relaxed SrS6Cl2 crystal at the PBE level of DFT.

Unit cell a=4.385 b=8.146 c=8.165 alpha=104.97 beta=87.97 gamma=87.94
Atoms (fractional coordinates):
Sr: 0.000 0.000 0.000
S: 0.916 0.533 0.279
S: 0.084 0.467 0.721
S: 0.858 0.684 0.684
S: 0.917 0.278 0.532
S: 0.083 0.722 0.468
S: 0.142 0.316 0.316
Cl: 0.500 0.857 0.142
Cl: 0.500 0.143 0.858

Values from the calculation:
- SG: P-1

# 5
Computed, not measured: a relaxed SrS5Cl crystal at the PBE level of DFT.

Unit cell a=6.655 b=4.547 c=10.802 alpha=90.66 beta=99.91 gamma=130.23
Atoms (fractional coordinates):
Sr: 0.822 0.322 0.644
S: 0.946 0.120 0.172
S: 0.027 0.527 0.054
S: 0.226 0.052 0.172
S: 0.390 0.609 0.765
S: 0.375 0.156 0.765
Cl: 0.745 0.745 0.490

Values from the calculation:
- SG: C2

# 6
Computed, not measured: a relaxed SrTcS2Cl crystal at the PBE level of DFT.

Unit cell a=5.520 b=5.520 c=5.349 alpha=90.00 beta=90.00 gamma=90.00
Last column: magnetic moment on the atom in μB.
Atoms (fractional coordinates):
Sr: 0.000 0.000 0.000  -0.01
S: 0.000 0.500 0.000  -0.23
S: 0.500 0.000 0.000  -0.23
Tc: 0.500 0.500 0.500  4.14
Cl: 0.000 0.000 0.500  0.04

Values from the calculation:
- Energy above the lowest structure with this stoichiometry: 1318 meV per atom
- SG: P4/mmm

Number 1: calculated total energy -3.046 eV per atom. Number 2: calculated total energy -2.795 eV per atom. Number 3: calculated total energy -3.000 eV per atom. Number 4: calculated total energy -4.053 eV per atom. Number 5: calculated total energy -4.091 eV per atom. Number 6: calculated total energy -3.984 eV per atom.